A geometry-optimized Na5CoHO4 structure, computed with GGA+U.

Values from the calculation:
* theoretical density: 2.64 g/cm³
* total moment: 3.0 μB per formula unit
* uncorrected energy: -4.451 eV/atom

```
Na5CoHO4
1.0
9.972 0.000 0.000
0.000 10.105 0.000
0.000 0.000 11.921
Na Co H O
40 8 8 32
direct
0.001 0.090 0.215
0.001 0.410 0.215
0.074 0.066 0.587
0.074 0.434 0.587
0.083 0.750 0.557
0.114 0.250 0.020
0.131 0.563 0.014
0.131 0.937 0.014
0.216 0.579 0.319
0.216 0.921 0.319
0.284 0.079 0.819
0.284 0.421 0.819
0.369 0.063 0.514
0.369 0.437 0.514
0.386 0.750 0.520
0.417 0.250 0.057
0.426 0.566 0.087
0.426 0.934 0.087
0.499 0.590 0.715
0.499 0.910 0.715
0.501 0.090 0.285
0.501 0.410 0.285
0.574 0.066 0.913
0.574 0.434 0.913
0.583 0.750 0.943
0.614 0.250 0.480
0.631 0.563 0.486
0.631 0.937 0.486
0.716 0.579 0.181
0.716 0.921 0.181
0.784 0.079 0.681
0.784 0.421 0.681
0.869 0.063 0.986
0.869 0.437 0.986
0.886 0.750 0.980
0.917 0.250 0.443
0.926 0.566 0.413
0.926 0.934 0.413
0.999 0.590 0.785
0.999 0.910 0.785
0.015 0.250 0.791
0.208 0.250 0.385
0.292 0.750 0.885
0.485 0.750 0.291
0.515 0.250 0.709
0.708 0.250 0.115
0.792 0.750 0.615
0.985 0.750 0.209
0.249 0.132 0.202
0.249 0.368 0.202
0.251 0.632 0.702
0.251 0.868 0.702
0.749 0.132 0.298
0.749 0.368 0.298
0.751 0.632 0.798
0.751 0.868 0.798
0.058 0.750 0.350
0.063 0.099 0.876
0.063 0.401 0.876
0.096 0.099 0.395
0.096 0.401 0.395
0.109 0.750 0.887
0.246 0.081 0.132
0.246 0.419 0.132
0.254 0.581 0.632
0.254 0.919 0.632
0.391 0.250 0.387
0.404 0.599 0.895
0.404 0.901 0.895
0.437 0.599 0.376
0.437 0.901 0.376
0.442 0.250 0.850
0.558 0.750 0.150
0.563 0.099 0.624
0.563 0.401 0.624
0.596 0.099 0.105
0.596 0.401 0.105
0.609 0.750 0.613
0.746 0.081 0.368
0.746 0.419 0.368
0.754 0.581 0.868
0.754 0.919 0.868
0.891 0.250 0.113
0.904 0.599 0.605
0.904 0.901 0.605
0.937 0.599 0.124
0.937 0.901 0.124
0.942 0.250 0.650
```

---

A geometry-optimized NaCo3P3H2O12 structure, computed with GGA+U.

Values from the calculation:
* theoretical density: 3.67 g/cm³
* total moment: 9.0 μB per formula unit
* uncorrected energy: -6.501 eV/atom

```
NaCo3P3H2O12
1.0
5.994 -6.096 0.000
5.994 6.096 0.000
-2.725 0.000 6.030
Na Co P H O
2 6 6 4 24
direct
0.044 0.956 0.750
0.956 0.044 0.250
0.050 0.374 0.625
0.276 0.724 0.250
0.374 0.050 0.125
0.626 0.950 0.875
0.724 0.276 0.750
0.950 0.626 0.375
0.106 0.329 0.111
0.317 0.683 0.750
0.329 0.106 0.611
0.671 0.894 0.389
0.683 0.317 0.250
0.894 0.671 0.889
0.377 0.387 0.190
0.387 0.377 0.690
0.613 0.623 0.310
0.623 0.613 0.810
0.018 0.672 0.112
0.035 0.394 0.304
0.154 0.154 0.097
0.154 0.154 0.597
0.207 0.722 0.540
0.267 0.449 0.156
0.278 0.793 0.960
0.285 0.499 0.732
0.328 0.982 0.388
0.394 0.035 0.804
0.449 0.267 0.656
0.499 0.285 0.232
0.501 0.715 0.768
0.551 0.733 0.344
0.606 0.965 0.196
0.672 0.018 0.612
0.715 0.501 0.268
0.722 0.207 0.040
0.733 0.551 0.844
0.793 0.278 0.460
0.846 0.846 0.403
0.846 0.846 0.903
0.965 0.606 0.696
0.982 0.328 0.888
```

---

A geometry-optimized Na2CoP4H16O20 structure, computed with GGA+U.

Values from the calculation:
* theoretical density: 2.17 g/cm³
* total moment: 3.0 μB per formula unit
* uncorrected energy: -5.781 eV/atom

```
Na2CoP4H16O20
1.0
7.311 0.000 0.000
0.000 10.793 0.000
-5.246 0.000 10.942
Na Co P H O
4 2 8 32 40
direct
0.212 0.170 0.461
0.212 0.330 0.961
0.788 0.670 0.039
0.788 0.830 0.539
0.500 0.000 0.000
0.500 0.500 0.500
0.044 0.044 0.782
0.044 0.456 0.282
0.318 0.737 0.083
0.318 0.763 0.583
0.682 0.237 0.417
0.682 0.263 0.917
0.956 0.544 0.718
0.956 0.956 0.218
0.100 0.590 0.426
0.100 0.910 0.926
0.101 0.606 0.941
0.101 0.894 0.441
0.139 0.707 0.709
0.139 0.793 0.209
0.264 0.093 0.109
0.264 0.407 0.609
0.348 0.042 0.709
0.348 0.458 0.209
0.474 0.164 0.161
0.474 0.336 0.661
0.478 0.561 0.114
0.478 0.939 0.614
0.482 0.623 0.799
0.482 0.877 0.299
0.518 0.123 0.701
0.518 0.377 0.201
0.522 0.061 0.386
0.522 0.439 0.886
0.526 0.664 0.339
0.526 0.836 0.839
0.652 0.542 0.791
0.652 0.958 0.291
0.736 0.593 0.391
0.736 0.907 0.891
0.861 0.207 0.791
0.861 0.293 0.291
0.899 0.106 0.559
0.899 0.394 0.059
0.900 0.090 0.074
0.900 0.410 0.574
0.008 0.183 0.811
0.008 0.317 0.311
0.024 0.045 0.137
0.024 0.455 0.637
0.088 0.516 0.852
0.088 0.984 0.352
0.109 0.667 0.012
0.109 0.833 0.512
0.273 0.031 0.824
0.273 0.469 0.324
0.318 0.643 0.517
0.318 0.857 0.017
0.346 0.745 0.715
0.346 0.755 0.215
0.364 0.130 0.085
0.364 0.370 0.585
0.412 0.060 0.653
0.412 0.440 0.153
0.492 0.649 0.082
0.492 0.851 0.582
0.508 0.149 0.418
0.508 0.351 0.918
0.588 0.560 0.847
0.588 0.940 0.347
0.636 0.630 0.415
0.636 0.870 0.915
0.654 0.245 0.785
0.654 0.255 0.285
0.682 0.143 0.983
0.682 0.357 0.483
0.727 0.531 0.676
0.727 0.969 0.176
0.891 0.167 0.488
0.891 0.333 0.988
0.912 0.016 0.648
0.912 0.484 0.148
0.976 0.545 0.363
0.976 0.955 0.863
0.992 0.683 0.689
0.992 0.817 0.189
```

---

A geometry-optimized Na2CoH8S2O12 structure, computed with GGA+U.

Values from the calculation:
* theoretical density: 2.39 g/cm³
* total moment: 3.0 μB per formula unit
* uncorrected energy: -5.437 eV/atom

```
Na2CoH8S2O12
1.0
5.564 0.000 0.000
0.000 8.371 0.000
-1.910 0.000 11.020
Na Co H S O
4 2 16 4 24
direct
0.118 0.071 0.363
0.118 0.429 0.863
0.882 0.571 0.137
0.882 0.929 0.637
0.000 0.000 0.000
0.000 0.500 0.500
0.228 0.633 0.343
0.228 0.867 0.843
0.234 0.057 0.818
0.234 0.443 0.318
0.246 0.729 0.009
0.246 0.771 0.509
0.330 0.698 0.637
0.330 0.802 0.137
0.670 0.198 0.863
0.670 0.302 0.363
0.754 0.229 0.491
0.754 0.271 0.991
0.766 0.557 0.682
0.766 0.943 0.182
0.772 0.133 0.157
0.772 0.367 0.657
0.377 0.214 0.637
0.377 0.286 0.137
0.623 0.714 0.863
0.623 0.786 0.363
0.128 0.534 0.336
0.128 0.966 0.836
0.182 0.715 0.575
0.182 0.785 0.075
0.219 0.084 0.579
0.219 0.416 0.079
0.314 0.130 0.076
0.314 0.370 0.576
0.358 0.225 0.769
0.358 0.275 0.269
0.359 0.680 0.870
0.359 0.820 0.370
0.641 0.180 0.630
0.641 0.320 0.130
0.642 0.725 0.731
0.642 0.775 0.231
0.686 0.630 0.424
0.686 0.870 0.924
0.781 0.584 0.921
0.781 0.916 0.421
0.818 0.215 0.925
0.818 0.285 0.425
0.872 0.034 0.164
0.872 0.466 0.664
```

---

A geometry-optimized NaCo2H3Se2O10 structure, computed with GGA+U.

Values from the calculation:
* theoretical density: 3.78 g/cm³
* total moment: 5.9 μB per formula unit
* uncorrected energy: -5.357 eV/atom

```
NaCo2H3Se2O10
1.0
5.563 0.000 0.000
-0.913 7.678 0.000
-1.121 -3.075 9.494
Na Co H Se O
2 4 6 4 20
direct
0.000 0.000 0.000
0.500 0.500 0.500
0.000 0.500 0.000
0.246 0.252 0.751
0.500 0.000 0.500
0.754 0.748 0.249
0.080 0.546 0.263
0.268 0.763 0.250
0.424 0.956 0.231
0.576 0.044 0.769
0.732 0.237 0.750
0.920 0.454 0.737
0.013 0.810 0.602
0.486 0.692 0.896
0.514 0.308 0.104
0.987 0.190 0.398
0.061 0.996 0.745
0.063 0.635 0.211
0.094 0.376 0.362
0.207 0.164 0.521
0.226 0.718 0.966
0.274 0.785 0.531
0.295 0.334 0.981
0.404 0.125 0.143
0.437 0.866 0.283
0.439 0.503 0.754
0.561 0.497 0.246
0.563 0.134 0.717
0.596 0.875 0.857
0.705 0.666 0.019
0.726 0.215 0.469
0.774 0.282 0.034
0.793 0.836 0.479
0.906 0.624 0.638
0.937 0.365 0.789
0.939 0.004 0.255
```

---

A geometry-optimized NaCo2H3Se2O10 structure, computed with GGA+U.

Values from the calculation:
* theoretical density: 3.78 g/cm³
* total moment: 5.9 μB per formula unit
* uncorrected energy: -5.357 eV/atom

```
NaCo2H3Se2O10
1.0
4.516 -3.252 0.000
4.516 3.252 0.000
-3.300 0.000 6.905
Na Co H Se O
1 2 3 2 10
direct
0.000 0.000 0.000
0.505 0.999 0.497
0.999 0.505 0.497
0.017 0.017 0.511
0.192 0.192 0.724
0.814 0.814 0.280
0.411 0.411 0.205
0.588 0.588 0.792
0.153 0.153 0.581
0.258 0.683 0.748
0.264 0.264 0.982
0.313 0.313 0.353
0.315 0.741 0.250
0.683 0.258 0.748
0.683 0.683 0.641
0.735 0.735 0.014
0.741 0.315 0.250
0.850 0.850 0.422
```